Record 1
Below is an optimized crystal structure of LiP2RhO, with properties calculated at the PBE-GGA level.

Raw formation energy in eV per atom: 0.15
Distance to the lowest polymorph of the same formula in meV/atom: 0

Lattice parameters (Å, degrees): 4.8560 4.8560 3.6999 90.00 90.00 90.00
Sites, in units of the cell vectors:
Li (0.0000, 0.0000, 0.0000)
P (0.0000, 0.5000, 0.5000)
P (0.5000, 0.0000, 0.5000)
Rh (0.5000, 0.5000, 0.5000)
O (0.5000, 0.5000, 0.0000)

***

Record 2
Below is an optimized crystal structure of K2NiPt, with properties calculated at the PBE-GGA level.

Energy of formation from the pure elements in meV/atom: 191
Distance to the lowest polymorph of the same formula in meV/atom: 94

Lattice parameters (Å, degrees): 2.9967 3.9520 9.7480 90.00 90.00 90.00
Sites, in units of the cell vectors:
K (0.0000, 0.0000, 0.0000)
K (0.5000, 0.5000, 0.4421)
Ni (0.0000, 0.0000, 0.6990)
Pt (0.5000, 0.5000, 0.7518)

***

Record 3
Below is an optimized crystal structure of LaCoN2, with properties calculated at the PBE-GGA level.

Raw formation energy in eV per atom: 0.21
Distance to the lowest polymorph of the same formula in meV/atom: 474

Lattice parameters (Å, degrees): 4.1419 4.1419 4.1419 60.00 60.00 60.00
Sites, in units of the cell vectors:
La (0.0000, 0.0000, 0.0000)
Co (0.5000, 0.5000, 0.5000)
N (0.2500, 0.2500, 0.2500)
N (0.7500, 0.7500, 0.7500)